Here is a geometry-optimized CsNa2HfB structure from Alexandria. Energies are from PBE-GGA.

## Properties
- DFT formation energy: 0.954 eV per atom
- Polymorph energy (0 for the lowest one): 0 meV per atom

abc: 6.5199 6.5199 4.4160
angles: 90.00 90.00 90.00
With the nearest neighbours (Å) after each atom.
Space group P4/mmm (No. 123)
Unique sites:
Cs: 0.0000 0.0000 0.0000 x1  8 Na 3.94
Na: 0.0000 0.5000 0.5000 x2  2 Hf 3.26
Hf: 0.5000 0.5000 0.5000 x1  2 B 2.21
B: 0.5000 0.5000 0.0000 x1  2 Hf 2.21